(1)
# Ac3Cu4Pd4 (PBE-GGA, relaxed)
data_Ac3Cu4Pd4
_space_group_name_H-M_alt 'P -1'
_space_group_IT_number 2
_cell_length_a 4.135
_cell_length_b 4.359
_cell_length_c 13.751
_cell_angle_alpha 99.06
_cell_angle_beta 98.57
_cell_angle_gamma 90.03
loop_
_space_group_symop_operation_xyz
'x,y,z'
'-x,-y,-z'
loop_
_atom_site_label
_atom_site_type_symbol
_atom_site_fract_x
_atom_site_fract_y
_atom_site_fract_z
_atom_site_occupancy
Ac1 Ac 0.000 0.000 0.000 1
Ac2 Ac 0.150 0.655 0.302 1
Cu1 Cu 0.249 0.244 0.504 1
Cu2 Cu 0.401 0.897 0.800 1
Pd1 Pd 0.307 0.799 0.611 1
Pd2 Pd 0.452 0.445 0.898 1
# ρ = 9.34 g/cm³
# Energy relative to the elements = -5.4 eV/f.u.



(2)
# TbBiH (PBE-GGA, relaxed)
data_TbBiH
_space_group_name_H-M_alt 'P -6 m 2'
_space_group_IT_number 187
_space_group_name_Hall 'P -6 2'
_cell_length_a 3.8217
_cell_length_b 3.8217
_cell_length_c 4.8544
_cell_angle_alpha 90.00
_cell_angle_beta 90.00
_cell_angle_gamma 120.00
loop_
_atom_site_label
_atom_site_type_symbol
_atom_site_fract_x
_atom_site_fract_y
_atom_site_fract_z
_atom_site_occupancy
Tb1 Tb 0.0000 0.0000 0.0000 1
Bi1 Bi 0.6667 0.3333 0.5000 1
H1 H 0.3333 0.6667 0.0000 1
# ρ = 9.98 g/cm³
# Energy relative to the lowest polymorph listed for this composition = 0 meV per atom